! Rb2U3CdS8 (PBE, relaxed); values from VASP
&SYSTEM
  ibrav = 0, nat = 14, ntyp = 4
/
ATOMIC_SPECIES
Rb 85.47 Rb.upf
U 238.03 U.upf
Cd 112.41 Cd.upf
S 32.06 S.upf
CELL_PARAMETERS angstrom
3.994 2.306 8.242
-3.994 2.306 8.242
0.000 -4.611 8.242
ATOMIC_POSITIONS angstrom
Rb 0.000 0.000 0.000
Rb 0.000 0.000 8.652
U -1.982 -1.144 20.557
U 1.982 -1.144 20.557
U 0.000 2.289 20.557
Cd 0.000 0.000 12.642
S -2.086 -1.205 13.832
S 0.000 0.000 5.470
S 0.000 -2.373 10.881
S -2.055 1.186 10.881
S 2.086 -1.205 13.832
S 0.000 2.409 13.832
S 0.000 0.000 19.122
S 2.055 1.186 10.881
! Energy: -87.52 eV/cell
! Formation energy without anion corrections: -17.79 eV per formula unit
! N(E_F): 12.8 states/eV/cell
! V: 455.34 Å³ per cell



! RbUCdS4 (PBE, relaxed); values from VASP
&SYSTEM
  ibrav = 0, nat = 14, ntyp = 4
/
ATOMIC_SPECIES
Rb 85.47 Rb.upf
U 238.03 U.upf
Cd 112.41 Cd.upf
S 32.06 S.upf
CELL_PARAMETERS angstrom
-3.827 4.090 6.813
3.827 -4.090 6.813
3.827 4.090 -6.813
ATOMIC_POSITIONS angstrom
Rb 0.000 2.045 2.182
Rb 3.827 2.045 4.631
U 3.827 0.000 0.000
U 0.000 0.000 6.813
Cd 1.914 2.045 -3.407
Cd 1.914 -2.045 3.407
S 3.827 -0.327 2.651
S 2.179 2.045 -0.029
S 5.475 2.045 -0.029
S 3.827 3.763 -2.651
S 0.000 0.327 9.464
S -1.648 2.045 6.842
S 1.648 2.045 6.842
S 0.000 4.416 4.163
! Energy: -73.50 eV/cell
! Formation energy without anion corrections: -7.07 eV per formula unit
! N(E_F): 8.0 states/eV/cell
! V: 426.57 Å³ per cell



! Rb2VCdS4 (PBE, relaxed); values from VASP
&SYSTEM
  ibrav = 0, nat = 16, ntyp = 4
/
ATOMIC_SPECIES
Rb 85.47 Rb.upf
V 50.94 V.upf
Cd 112.41 Cd.upf
S 32.06 S.upf
CELL_PARAMETERS angstrom
0.000 6.852 12.049
3.009 0.000 12.049
3.009 6.852 0.000
ATOMIC_POSITIONS angstrom
Rb 2.257 5.139 1.303
Rb 3.761 8.565 7.327
Rb 2.257 5.139 16.771
Rb 3.761 8.565 22.796
V 2.257 5.139 9.037
V 3.761 8.565 15.061
Cd 0.752 1.713 3.012
Cd 5.266 11.991 21.086
S 3.531 3.816 7.751
S 3.531 6.462 10.323
S 5.035 7.242 16.347
S 5.035 9.888 13.776
S 0.983 3.816 10.323
S 0.983 6.462 7.751
S 2.487 7.242 13.776
S 2.487 9.888 16.347
! Energy: -71.97 eV/cell
! Formation energy without anion corrections: -7.51 eV per formula unit
! N(E_F): 7.0 states/eV/cell
! V: 496.85 Å³ per cell



! RbZnCdS2 (PBE, relaxed); values from VASP
&SYSTEM
  ibrav = 0, nat = 5, ntyp = 4
/
ATOMIC_SPECIES
Rb 85.47 Rb.upf
Zn 65.41 Zn.upf
Cd 112.41 Cd.upf
S 32.06 S.upf
CELL_PARAMETERS angstrom
5.194 0.000 0.000
0.000 5.194 0.000
0.000 0.000 5.329
ATOMIC_POSITIONS angstrom
Rb 0.000 0.000 0.000
Zn 2.597 2.597 0.000
Cd 2.597 2.597 2.665
S 0.000 2.597 2.665
S 2.597 0.000 2.665
! Energy: -12.03 eV/cell
! Formation energy without anion corrections: -0.61 eV per formula unit
! N(E_F): 4.2 states/eV/cell
! V: 143.76 Å³ per cell